1.
Below is a geometry-optimized TlRhW3 structure, with properties calculated at the GGA-PBE level.

Unit cell a=4.7521 b=4.7521 c=4.7521 alpha=90.00 beta=90.00 gamma=90.00
Fractional positions:
Tl 0.0000 0.0000 0.0000
Rh 0.5000 0.5000 0.5000
W 0.0000 0.5000 0.5000
W 0.5000 0.0000 0.5000
W 0.5000 0.5000 0.0000

M_tot	0.000	μB per atom
calculated density	13.29	g/cm³
offset from the most stable computed form	0	meV per atom

=====

2.
Below is a geometry-optimized SrLa2Tc structure, with properties calculated at the GGA-PBE level.

Unit cell a=5.7845 b=5.7845 c=5.7845 alpha=129.30 beta=129.30 gamma=74.52
Fractional positions:
Sr 0.0000 0.0000 0.0000
La 0.5000 0.5000 0.0000
La 0.7500 0.2500 0.5000
Tc 0.2500 0.7500 0.5000

M_tot	0.000	μB per atom
calculated density	6.81	g/cm³
offset from the most stable computed form	444	meV per atom

=====

3.
Below is a geometry-optimized RePCl2 structure, with properties calculated at the GGA-PBE level.

Unit cell a=5.0767 b=5.0767 c=3.4573 alpha=107.85 beta=107.85 gamma=115.62
Fractional positions:
Re 0.0000 0.0000 0.0000
P 0.5000 0.5000 0.0000
Cl 0.0000 0.5000 0.5000
Cl 0.5000 0.0000 0.5000

M_tot	0.171	μB per atom
raw formation energy	0.956	eV per atom
calculated density	7.28	g/cm³
offset from the most stable computed form	1238	meV per atom

=====

4.
Below is a geometry-optimized Sr2ZnTe structure, with properties calculated at the GGA-PBE level.

Unit cell a=5.9848 b=5.9848 c=5.9848 alpha=128.00 beta=128.00 gamma=76.62
Fractional positions:
Sr 0.2500 0.7500 0.5000
Sr 0.7500 0.2500 0.5000
Zn 0.0000 0.0000 0.0000
Te 0.5000 0.5000 0.0000

M_tot	0.000	μB per atom
raw formation energy	-0.667	eV per atom
calculated density	4.73	g/cm³
offset from the most stable computed form	148	meV per atom

=====

5.
Below is a geometry-optimized CrAgMo structure, with properties calculated at the GGA-PBE level.

Unit cell a=4.8723 b=4.8723 c=4.8723 alpha=149.49 beta=128.96 gamma=60.64
Fractional positions:
Cr 0.0000 0.0000 0.0000
Ag 0.3327 0.3327 0.0000
Mo 0.6599 0.6599 0.0000

M_tot	0.002	μB per atom
calculated density	9.38	g/cm³
offset from the most stable computed form	173	meV per atom

=====

6.
Below is a geometry-optimized SrMnAs structure, with properties calculated at the GGA-PBE level.

Unit cell a=5.0431 b=5.0431 c=5.0431 alpha=60.00 beta=60.00 gamma=60.00
Fractional positions:
Sr 0.0000 0.0000 0.0000
Mn 0.7500 0.7500 0.7500
As 0.2500 0.2500 0.2500

M_tot	1.679	μB per atom
calculated density	3.98	g/cm³

=====

7.
Below is a geometry-optimized Hg4AsO5 structure, with properties calculated at the GGA-PBE level.

Unit cell a=6.4879 b=6.4879 c=6.4879 alpha=94.91 beta=94.91 gamma=145.99
Fractional positions:
Hg 0.0972 0.6657 0.7629
Hg 0.3343 0.0972 0.4316
Hg 0.6657 0.9028 0.5684
Hg 0.9028 0.3343 0.2371
As 0.5000 0.5000 0.0000
O 0.0000 0.0000 0.0000
O 0.3243 0.3754 0.6997
O 0.3754 0.6757 0.0511
O 0.6246 0.3243 0.9489
O 0.6757 0.6246 0.3003

M_tot	0.000	μB per atom
raw formation energy	-0.428	eV per atom
calculated density	10.88	g/cm³

=====

8.
Below is a geometry-optimized Si2As structure, with properties calculated at the GGA-PBE level.

Unit cell a=5.5468 b=5.5468 c=8.8484 alpha=121.57 beta=121.57 gamma=29.59
Fractional positions:
Si 0.0542 0.0542 0.1582
Si 0.3531 0.3531 0.1247
Si 0.6469 0.6469 0.8753
Si 0.9458 0.9458 0.8418
As 0.3266 0.3266 0.3777
As 0.6734 0.6734 0.6223

M_tot	0.000	μB per atom
raw formation energy	0.270	eV per atom
calculated density	3.85	g/cm³
offset from the most stable computed form	110	meV per atom

=====

9.
Below is a geometry-optimized Ir2OsRu4Pt structure, with properties calculated at the GGA-PBE level.

Unit cell a=6.7595 b=2.6562 c=7.0605 alpha=90.00 beta=96.41 gamma=90.00
Fractional positions:
Ir 0.0000 0.0000 0.0000
Ir 0.0000 0.5000 0.5000
Os 0.5000 0.0000 0.5000
Ru 0.2403 0.5000 0.2594
Ru 0.2591 0.0000 0.7356
Ru 0.7409 0.0000 0.2644
Ru 0.7597 0.5000 0.7406
Pt 0.5000 0.5000 0.0000

M_tot	0.000	μB per atom
calculated density	15.48	g/cm³

=====

10.
Below is a geometry-optimized TiCrNi14 structure, with properties calculated at the GGA-PBE level.

Unit cell a=5.0208 b=5.0208 c=7.0705 alpha=90.00 beta=90.00 gamma=90.00
Fractional positions:
Ti 0.0000 0.0000 0.0000
Cr 0.5000 0.5000 0.0000
Ni 0.0000 0.0000 0.5000
Ni 0.0000 0.5000 0.0000
Ni 0.0000 0.5000 0.5000
Ni 0.2524 0.2524 0.2517
Ni 0.2524 0.2524 0.7483
Ni 0.2524 0.7476 0.2517
Ni 0.2524 0.7476 0.7483
Ni 0.5000 0.0000 0.0000
Ni 0.5000 0.0000 0.5000
Ni 0.5000 0.5000 0.5000
Ni 0.7476 0.2524 0.2517
Ni 0.7476 0.2524 0.7483
Ni 0.7476 0.7476 0.2517
Ni 0.7476 0.7476 0.7483

M_tot	0.210	μB per atom
calculated density	8.59	g/cm³

=====

11.
Below is a geometry-optimized TmZrFe2 structure, with properties calculated at the GGA-PBE level.

Unit cell a=3.2167 b=3.2167 c=6.4833 alpha=90.00 beta=90.00 gamma=90.00
Fractional positions:
Tm 0.0000 0.0000 0.0000
Zr 0.0000 0.0000 0.5000
Fe 0.5000 0.5000 0.2696
Fe 0.5000 0.5000 0.7304

M_tot	0.101	μB per atom
calculated density	9.20	g/cm³
offset from the most stable computed form	0	meV per atom

=====

12.
Below is a geometry-optimized CdCo2Rh structure, with properties calculated at the GGA-PBE level.

Unit cell a=5.0942 b=5.0942 c=5.0942 alpha=145.57 beta=128.94 gamma=63.04
Fractional positions:
Cd 0.0000 0.0000 0.0000
Co 0.2586 0.7586 0.5000
Co 0.7414 0.2414 0.5000
Rh 0.5000 0.5000 0.0000

M_tot	1.050	μB per atom
calculated density	9.62	g/cm³

=====

Number 1: uncorrected energy -7.77 eV per atom. Number 2: uncorrected energy -4.93 eV per atom. Number 3: uncorrected energy -4.43 eV per atom. Number 4: uncorrected energy -2.61 eV per atom. Number 5: uncorrected energy -7.16 eV per atom. Number 6: uncorrected energy -4.73 eV per atom. Number 7: uncorrected energy -3.49 eV per atom. Number 8: uncorrected energy -4.90 eV per atom. Number 9: uncorrected energy -8.31 eV per atom. Number 10: uncorrected energy -6.25 eV per atom. Number 11: uncorrected energy -7.53 eV per atom. Number 12: uncorrected energy -5.34 eV per atom.